# MnInRh

Crystalline MnInRh at its relaxed geometry (GGA-PBE, Alexandria via LeMat-Bulk).

a = 4.396 Å, b = 4.396 Å, c = 2.963 Å
α = 90.00°, β = 90.00°, γ = 120.00°
Each line ends with the local moment (μB).
Fractional positions:
Mn  0.333  0.667  0.386  3.60
In  0.000  0.000  0.003  -0.04
Rh  0.667  0.333  0.610  0.44

Computed properties:
DFT total energy: -19.45 eV/cell
DFT formation energy: -6 kJ per mole of atoms
M_tot: 1.381 μB/atom

---

# MnInTc2Rh

Crystalline MnInTc2Rh at its relaxed geometry (GGA-PBE, Alexandria via LeMat-Bulk).

a = 4.785 Å, b = 4.549 Å, c = 4.785 Å
α = 90.00°, β = 90.00°, γ = 90.00°
Each line ends with the local moment (μB).
Fractional positions:
Rh  0.500  0.500  0.500  0.67
Tc  0.500  0.000  0.000  0.74
Tc  0.000  0.000  0.500  1.01
Mn  0.000  0.500  0.000  0.15
In  0.000  0.000  0.000  0.00

Computed properties:
DFT total energy: -27.21 eV/cell
DFT formation energy: 247 kJ per mole of atoms
M_tot: 0.537 μB/atom

---

# Y2Mn2InRh5

Crystalline Y2Mn2InRh5 at its relaxed geometry (GGA-PBE, Alexandria via LeMat-Bulk).

a = 3.739 Å, b = 9.639 Å, c = 9.639 Å
α = 90.00°, β = 90.00°, γ = 90.00°
Each line ends with the local moment (μB).
Fractional positions:
Rh  0.500  0.500  0.000  0.19
Rh  0.500  0.212  0.067  0.11
Rh  0.500  0.067  0.788  0.11
Rh  0.500  0.712  0.433  0.11
Rh  0.500  0.000  0.500  0.19
Rh  0.500  0.788  0.933  0.11
Rh  0.500  0.933  0.212  0.11
Rh  0.500  0.288  0.567  0.11
Rh  0.500  0.433  0.288  0.11
Rh  0.500  0.567  0.712  0.11
Mn  0.000  0.381  0.119  3.05
Mn  0.000  0.119  0.619  3.05
Mn  0.000  0.619  0.881  3.05
Mn  0.000  0.881  0.381  3.05
Y  0.000  0.178  0.322  -0.03
Y  0.000  0.322  0.822  -0.03
Y  0.000  0.822  0.678  -0.03
Y  0.000  0.678  0.178  -0.03
In  0.000  0.000  0.000  0.01
In  0.000  0.500  0.500  0.01

Computed properties:
DFT total energy: -150.52 eV/cell
DFT formation energy: -43 kJ per mole of atoms
M_tot: 0.676 μB/atom

---

# MnZnInRh2

Crystalline MnZnInRh2 at its relaxed geometry (GGA-PBE, Alexandria via LeMat-Bulk).

a = 4.889 Å, b = 4.726 Å, c = 4.889 Å
α = 90.00°, β = 90.00°, γ = 90.00°
Each line ends with the local moment (μB).
Fractional positions:
In  0.000  0.000  0.000  0.01
Rh  0.500  0.000  0.000  -0.15
Rh  0.000  0.000  0.500  -0.07
Zn  0.000  0.500  0.000  0.01
Mn  0.500  0.500  0.500  -4.41

Computed properties:
DFT total energy: -22.27 eV/cell
DFT formation energy: 108 kJ per mole of atoms
M_tot: 0.971 μB/atom

---

# MnInRu2

Crystalline MnInRu2 at its relaxed geometry (GGA-PBE, Alexandria via LeMat-Bulk).

a = 3.107 Å, b = 4.616 Å, c = 4.354 Å
α = 90.00°, β = 90.00°, γ = 90.00°
Each line ends with the local moment (μB).
Fractional positions:
Ru  0.500  0.500  0.000  0.56
Ru  0.000  0.000  0.000  0.14
Mn  0.000  0.500  0.500  3.41
In  0.500  0.000  0.500  -0.04

Computed properties:
DFT total energy: -29.20 eV/cell
DFT formation energy: 30 kJ per mole of atoms
M_tot: 1.057 μB/atom

---

# MnInRu2

Crystalline MnInRu2 at its relaxed geometry (GGA-PBE, Alexandria via LeMat-Bulk).

a = 5.181 Å, b = 5.181 Å, c = 5.181 Å
α = 144.32°, β = 130.09°, γ = 62.85°
Each line ends with the local moment (μB).
Fractional positions:
In  0.496  0.496  0.000  -0.04
Ru  0.008  0.008  0.000  -0.19
Ru  0.756  0.256  0.500  -0.10
Mn  0.241  0.741  0.500  3.22

Computed properties:
DFT total energy: -29.72 eV/cell
DFT formation energy: 18 kJ per mole of atoms
M_tot: 0.745 μB/atom

---

# MnInRu

Crystalline MnInRu at its relaxed geometry (GGA-PBE, Alexandria via LeMat-Bulk).

a = 2.965 Å, b = 2.965 Å, c = 6.488 Å
α = 90.00°, β = 90.00°, γ = 120.00°
Each line ends with the local moment (μB).
Fractional positions:
Mn  0.667  0.333  0.359  3.05
In  0.000  0.000  0.998  -0.05
Ru  0.333  0.667  0.643  -0.20

Computed properties:
DFT total energy: -20.31 eV/cell
DFT formation energy: 28 kJ per mole of atoms
M_tot: 0.972 μB/atom

---

# MnInRu2

Crystalline MnInRu2 at its relaxed geometry (GGA-PBE, Alexandria via LeMat-Bulk).

a = 5.276 Å, b = 5.276 Å, c = 5.276 Å
α = 147.77°, β = 127.97°, γ = 62.54°
Each line ends with the local moment (μB).
Fractional positions:
In  0.750  0.250  0.500  -0.05
Mn  0.250  0.750  0.500  2.81
Ru  0.476  0.476  0.000  0.02
Ru  0.024  0.024  0.000  0.02

Computed properties:
DFT total energy: -29.59 eV/cell
DFT formation energy: 21 kJ per mole of atoms
M_tot: 0.718 μB/atom